Entry from Alexandria via LeMat-Bulk: a geometry-optimized Pm3ErIn structure (PBE).

* E above lowest polymorph: 0.000 eV/atom
* magnetic moment: 0.00 μB/f.u.
* energy relative to the elements: -18.3 kJ per mole of atoms

Unit cell a=4.896 b=4.899 c=12.967 alpha=90.00 beta=79.12 gamma=90.00
Sites, in units of the cell vectors:
Pm 0.771 0.250 0.107
Pm 0.378 0.250 0.892
Pm 0.573 0.250 0.502
Pm 0.270 0.750 0.108
Pm 0.878 0.750 0.893
Pm 0.075 0.750 0.498
Er 0.476 0.750 0.697
Er 0.173 0.250 0.303
In 0.671 0.750 0.307
In 0.978 0.250 0.693